Material: TiTcTeF2
Method: DFT, PBE
State: relaxed

```
data_TiTcTeF2
_chemical_formula_sum 'Ti1 Tc1 Te1 F2'
_symmetry_space_group_name_H-M 'P 4/m m m'
_symmetry_Int_Tables_number 123
_symmetry_space_group_name_Hall '-P 4 2'
_cell_length_a 4.034
_cell_length_b 4.034
_cell_length_c 5.379
_cell_angle_alpha 90.00
_cell_angle_beta 90.00
_cell_angle_gamma 90.00
loop_
_atom_site_label
_atom_site_fract_x
_atom_site_fract_y
_atom_site_fract_z
_atom_site_occupancy
Ti1 0.000 0.000 0.000 1
Tc1 0.000 0.000 0.500 1
Te1 0.500 0.500 0.000 1
F1 0.000 0.500 0.500 1
```

Computed properties:
**Total DFT energy (no corrections)**: -5.929 eV/atom
**Density**: 5.91 g/cm3

---

Material: Ac2NdSm4
Method: DFT, PBE
State: relaxed

```
data_Ac2NdSm4
_chemical_formula_sum 'Ac4 Nd2 Sm8'
_symmetry_space_group_name_H-M 'I 4/m m m'
_symmetry_Int_Tables_number 139
_symmetry_space_group_name_Hall '-I 4 2'
_cell_length_a 5.735
_cell_length_b 5.735
_cell_length_c 18.180
_cell_angle_alpha 90.00
_cell_angle_beta 90.00
_cell_angle_gamma 90.00
loop_
_atom_site_label
_atom_site_fract_x
_atom_site_fract_y
_atom_site_fract_z
_atom_site_occupancy
Ac1 0.000 0.000 0.128 1
Nd1 0.000 0.000 0.500 1
Sm1 0.000 0.000 0.328 1
Sm2 0.000 0.500 0.000 1
```

Computed properties:
**Density**: 6.66 g/cm3
**Formation energy from the elements**: 571 meV/atom

---

Material: SmCo3P3
Method: DFT, PBE
State: relaxed

```
data_SmCo3P3
_chemical_formula_sum 'Sm6 Co18 P18'
_symmetry_space_group_name_H-M 'R -3'
_symmetry_Int_Tables_number 148
_symmetry_space_group_name_Hall '-R 3'
_cell_length_a 6.3646
_cell_length_b 6.3646
_cell_length_c 19.6662
_cell_angle_alpha 90.00
_cell_angle_beta 90.00
_cell_angle_gamma 120.00
loop_
_atom_site_label
_atom_site_fract_x
_atom_site_fract_y
_atom_site_fract_z
_atom_site_occupancy
Sm1 0.0000 0.0000 0.1669 1
Co1 0.0050 0.3469 0.3751 1
P1 0.0041 0.3171 0.5966 1
```

Computed properties:
**Density**: 6.07 g/cm3
**Formation energy from the elements**: -734 meV/atom

---

Material: HfNb2ZnH
Method: DFT, PBE
State: relaxed

```
data_HfNb2ZnH
_chemical_formula_sum 'Hf1 Nb2 Zn1 H1'
_symmetry_space_group_name_H-M 'P 4/m m m'
_symmetry_Int_Tables_number 123
_symmetry_space_group_name_Hall '-P 4 2'
_cell_length_a 4.076
_cell_length_b 4.076
_cell_length_c 4.511
_cell_angle_alpha 90.00
_cell_angle_beta 90.00
_cell_angle_gamma 90.00
loop_
_atom_site_label
_atom_site_fract_x
_atom_site_fract_y
_atom_site_fract_z
_atom_site_occupancy
Hf1 0.000 0.000 0.000 1
Nb1 0.000 0.500 0.500 1
Zn1 0.500 0.500 0.000 1
H1 0.000 0.000 0.500 1
```

Computed properties:
**Total DFT energy (no corrections)**: -7.068 eV/atom
**Density**: 9.54 g/cm3

---

Material: Be2TlSe
Method: DFT, PBE
State: relaxed

```
data_Be2TlSe
_chemical_formula_sum 'Be4 Tl2 Se2'
_symmetry_space_group_name_H-M 'I m m m'
_symmetry_Int_Tables_number 71
_symmetry_space_group_name_Hall '-I 2 2'
_cell_length_a 3.337
_cell_length_b 6.175
_cell_length_c 7.550
_cell_angle_alpha 90.00
_cell_angle_beta 90.00
_cell_angle_gamma 90.00
loop_
_atom_site_label
_atom_site_fract_x
_atom_site_fract_y
_atom_site_fract_z
_atom_site_occupancy
Be1 0.000 0.000 0.208 1
Tl1 0.000 0.500 0.000 1
Se1 0.000 0.500 0.500 1
```

Computed properties:
**Total DFT energy (no corrections)**: -2.865 eV/atom
**Density**: 6.43 g/cm3

---

Material: Ge2PSe
Method: DFT, PBE
State: relaxed

```
data_Ge2PSe
_chemical_formula_sum 'Ge6 P3 Se3'
_symmetry_space_group_name_H-M 'R 3 m'
_symmetry_Int_Tables_number 160
_symmetry_space_group_name_Hall 'R 3 -2"'
_cell_length_a 3.6849
_cell_length_b 3.6849
_cell_length_c 22.1314
_cell_angle_alpha 90.00
_cell_angle_beta 90.00
_cell_angle_gamma 120.00
loop_
_atom_site_label
_atom_site_fract_x
_atom_site_fract_y
_atom_site_fract_z
_atom_site_occupancy
Ge1 0.0000 0.0000 0.0000 1
Ge2 0.0000 0.0000 0.1910 1
P1 0.0000 0.0000 0.6126 1
Se1 0.0000 0.0000 0.7914 1
```

Computed properties:
**Total DFT energy (no corrections)**: -4.551 eV/atom
**Density**: 4.89 g/cm3

---

Material: Er2ScHg3
Method: DFT, PBE
State: relaxed

```
data_Er2ScHg3
_chemical_formula_sum 'Er4 Sc2 Hg6'
_symmetry_space_group_name_H-M 'P -3 m 1'
_symmetry_Int_Tables_number 164
_symmetry_space_group_name_Hall '-P 3 2"'
_cell_length_a 5.1348
_cell_length_b 5.1348
_cell_length_c 12.6379
_cell_angle_alpha 90.00
_cell_angle_beta 90.00
_cell_angle_gamma 120.00
loop_
_atom_site_label
_atom_site_fract_x
_atom_site_fract_y
_atom_site_fract_z
_atom_site_occupancy
Er1 0.0000 0.0000 0.0000 1
Er2 0.0000 0.0000 0.5000 1
Er3 0.3333 0.6667 0.1717 1
Sc1 0.3333 0.6667 0.6663 1
Hg1 0.0000 0.0000 0.2545 1
Hg2 0.3333 0.6667 0.4192 1
Hg3 0.3333 0.6667 0.9134 1
```

Computed properties:
**Density**: 11.29 g/cm3
**Formation energy from the elements**: -454 meV/atom

---

Material: Hf5Ni2N
Method: DFT, PBE
State: relaxed

```
data_Hf5Ni2N
_chemical_formula_sum 'Hf20 Ni8 N4'
_symmetry_space_group_name_H-M 'C m c m'
_symmetry_Int_Tables_number 63
_symmetry_space_group_name_Hall '-C 2c 2'
_cell_length_a 4.462
_cell_length_b 13.280
_cell_length_c 10.280
_cell_angle_alpha 90.00
_cell_angle_beta 90.00
_cell_angle_gamma 90.00
loop_
_atom_site_label
_atom_site_fract_x
_atom_site_fract_y
_atom_site_fract_z
_atom_site_occupancy
Hf1 0.000 0.079 0.106 1
Hf2 0.000 0.298 0.750 1
Hf3 0.000 0.315 0.082 1
Ni1 0.000 0.112 0.638 1
N1 0.000 0.204 0.250 1
```

Computed properties:
**Total DFT energy (no corrections)**: -9.001 eV/atom
**Density**: 11.16 g/cm3

---

Material: TiGaSb2Te
Method: DFT, PBE
State: relaxed

```
data_TiGaSb2Te
_chemical_formula_sum 'Ti1 Ga1 Sb2 Te1'
_symmetry_space_group_name_H-M 'P 4/m m m'
_symmetry_Int_Tables_number 123
_symmetry_space_group_name_Hall '-P 4 2'
_cell_length_a 5.300
_cell_length_b 5.300
_cell_length_c 5.381
_cell_angle_alpha 90.00
_cell_angle_beta 90.00
_cell_angle_gamma 90.00
loop_
_atom_site_label
_atom_site_fract_x
_atom_site_fract_y
_atom_site_fract_z
_atom_site_occupancy
Ti1 0.000 0.000 0.000 1
Ga1 0.500 0.500 0.500 1
Sb1 0.000 0.500 0.000 1
Te1 0.000 0.000 0.500 1
```

Computed properties:
**Total DFT energy (no corrections)**: -4.366 eV/atom
**Density**: 5.37 g/cm3

---

Material: NaGa3Cu
Method: DFT, PBE
State: relaxed

```
data_NaGa3Cu
_chemical_formula_sum 'Na4 Ga12 Cu4'
_symmetry_space_group_name_H-M 'P 1 21/c 1'
_symmetry_Int_Tables_number 14
_symmetry_space_group_name_Hall '-P 2ybc'
_cell_length_a 8.050
_cell_length_b 5.488
_cell_length_c 8.807
_cell_angle_alpha 90.00
_cell_angle_beta 104.76
_cell_angle_gamma 90.00
loop_
_atom_site_label
_atom_site_fract_x
_atom_site_fract_y
_atom_site_fract_z
_atom_site_occupancy
Na1 0.128 0.099 0.211 1
Ga1 0.148 0.606 0.056 1
Ga2 0.293 0.597 0.371 1
Ga3 0.396 0.189 0.539 1
Cu1 0.459 0.718 0.676 1
```

Computed properties:
**Density**: 5.22 g/cm3
**Formation energy from the elements**: -65 meV/atom

---

Material: Mg5HIr3
Method: DFT, PBE
State: relaxed

```
data_Mg5HIr3
_chemical_formula_sum 'Mg5 H1 Ir3'
_symmetry_space_group_name_H-M 'P 1'
_symmetry_Int_Tables_number 1
_symmetry_space_group_name_Hall 'P 1'
_cell_length_a 4.280
_cell_length_b 5.019
_cell_length_c 7.776
_cell_angle_alpha 80.72
_cell_angle_beta 74.04
_cell_angle_gamma 64.78
loop_
_atom_site_label
_atom_site_fract_x
_atom_site_fract_y
_atom_site_fract_z
_atom_site_occupancy
Mg1 0.000 0.000 0.000 1
Mg2 0.047 0.291 0.615 1
Mg3 0.190 0.402 0.216 1
Mg4 0.355 0.483 0.806 1
Mg5 0.411 0.776 0.400 1
H1 0.756 0.299 0.183 1
Ir1 0.690 0.599 0.019 1
Ir2 0.697 0.889 0.716 1
Ir3 0.700 0.184 0.414 1
```

Computed properties:
**Total DFT energy (no corrections)**: -4.521 eV/atom
**Density**: 8.00 g/cm3

---

Material: Re2Ag2I
Method: DFT, PBE
State: relaxed

```
data_Re2Ag2I
_chemical_formula_sum 'Re4 Ag4 I2'
_symmetry_space_group_name_H-M 'P 4/m b m'
_symmetry_Int_Tables_number 127
_symmetry_space_group_name_Hall '-P 4 2ab'
_cell_length_a 8.488
_cell_length_b 8.488
_cell_length_c 2.828
_cell_angle_alpha 90.00
_cell_angle_beta 90.00
_cell_angle_gamma 90.00
loop_
_atom_site_label
_atom_site_fract_x
_atom_site_fract_y
_atom_site_fract_z
_atom_site_occupancy
Re1 0.096 0.404 0.000 1
Ag1 0.192 0.692 0.500 1
I1 0.000 0.000 0.000 1
```

Computed properties:
**Total DFT energy (no corrections)**: -5.315 eV/atom
**Density**: 11.66 g/cm3

---

Material: PPt2Se
Method: DFT, PBE
State: relaxed

```
data_PPt2Se
_chemical_formula_sum 'P1 Pt2 Se1'
_symmetry_space_group_name_H-M 'P m m m'
_symmetry_Int_Tables_number 47
_symmetry_space_group_name_Hall '-P 2 2'
_cell_length_a 2.865
_cell_length_b 4.480
_cell_length_c 5.097
_cell_angle_alpha 90.00
_cell_angle_beta 90.00
_cell_angle_gamma 90.00
loop_
_atom_site_label
_atom_site_fract_x
_atom_site_fract_y
_atom_site_fract_z
_atom_site_occupancy
P1 0.000 0.000 0.000 1
Pt1 0.000 0.500 0.500 1
Pt2 0.500 0.500 0.000 1
Se1 0.500 0.000 0.500 1
```

Computed properties:
**Total DFT energy (no corrections)**: -4.931 eV/atom
**Density**: 12.69 g/cm3

---

Material: AcHg2PdO6
Method: DFT, PBE
State: relaxed

```
data_AcHg2PdO6
_chemical_formula_sum 'Ac2 Hg4 Pd2 O12'
_symmetry_space_group_name_H-M 'P 1 21/c 1'
_symmetry_Int_Tables_number 14
_symmetry_space_group_name_Hall '-P 2ybc'
_cell_length_a 5.909
_cell_length_b 5.950
_cell_length_c 10.188
_cell_angle_alpha 90.00
_cell_angle_beta 124.66
_cell_angle_gamma 90.00
loop_
_atom_site_label
_atom_site_fract_x
_atom_site_fract_y
_atom_site_fract_z
_atom_site_occupancy
Ac1 0.000 0.000 0.000 1
Hg1 0.242 0.032 0.738 1
Pd1 0.500 0.000 0.500 1
O1 0.172 0.107 0.284 1
O2 0.247 0.656 0.039 1
O3 0.437 0.223 0.091 1
```

Computed properties:
**Total DFT energy (no corrections)**: -4.912 eV/atom
**Density**: 9.36 g/cm3

---

Material: KAcVN3
Method: DFT, PBE
State: relaxed

```
data_KAcVN3
_chemical_formula_sum 'K4 Ac4 V4 N12'
_symmetry_space_group_name_H-M 'C 1 2/m 1'
_symmetry_Int_Tables_number 12
_symmetry_space_group_name_Hall '-C 2y'
_cell_length_a 14.314
_cell_length_b 3.929
_cell_length_c 8.050
_cell_angle_alpha 90.00
_cell_angle_beta 106.32
_cell_angle_gamma 90.00
loop_
_atom_site_label
_atom_site_fract_x
_atom_site_fract_y
_atom_site_fract_z
_atom_site_occupancy
K1 0.133 0.000 0.065 1
Ac1 0.159 0.000 0.599 1
V1 0.008 0.500 0.309 1
N1 0.011 0.000 0.321 1
N2 0.123 0.500 0.793 1
N3 0.148 0.500 0.361 1
```

Computed properties:
**Total DFT energy (no corrections)**: -7.031 eV/atom
**Density**: 5.49 g/cm3

---

Material: Hf2Pd7Pt3
Method: DFT, PBE
State: relaxed

```
data_Hf2Pd7Pt3
_chemical_formula_sum 'Hf2 Pd7 Pt3'
_symmetry_space_group_name_H-M 'P 1 2/m 1'
_symmetry_Int_Tables_number 10
_symmetry_space_group_name_Hall '-P 2y'
_cell_length_a 4.053
_cell_length_b 3.861
_cell_length_c 13.651
_cell_angle_alpha 90.00
_cell_angle_beta 98.51
_cell_angle_gamma 90.00
loop_
_atom_site_label
_atom_site_fract_x
_atom_site_fract_y
_atom_site_fract_z
_atom_site_occupancy
Hf1 0.149 0.000 0.298 1
Pd1 0.076 0.500 0.152 1
Pd2 0.281 0.000 0.562 1
Pd3 0.424 0.000 0.849 1
Pd4 0.500 0.500 0.000 1
Pt1 0.000 0.000 0.000 1
Pt2 0.351 0.500 0.702 1
```

Computed properties:
**Density**: 13.26 g/cm3
**Formation energy from the elements**: -406 meV/atom

---

Material: FeAsRh4
Method: DFT, PBE
State: relaxed

```
data_FeAsRh4
_chemical_formula_sum 'Fe4 As4 Rh16'
_symmetry_space_group_name_H-M 'F -4 3 m'
_symmetry_Int_Tables_number 216
_symmetry_space_group_name_Hall 'F -4 2 3'
_cell_length_a 7.241
_cell_length_b 7.241
_cell_length_c 7.241
_cell_angle_alpha 90.00
_cell_angle_beta 90.00
_cell_angle_gamma 90.00
loop_
_atom_site_label
_atom_site_fract_x
_atom_site_fract_y
_atom_site_fract_z
_atom_site_occupancy
Fe1 0.000 0.000 0.000 1
As1 0.250 0.250 0.250 1
Rh1 0.125 0.125 0.625 1
```

Computed properties:
**Density**: 9.49 g/cm3
**Formation energy from the elements**: 392 meV/atom

---

Material: BeSbI2Br
Method: DFT, PBE
State: relaxed

```
data_BeSbI2Br
_chemical_formula_sum 'Be1 Sb1 I2 Br1'
_symmetry_space_group_name_H-M 'P 4/m m m'
_symmetry_Int_Tables_number 123
_symmetry_space_group_name_Hall '-P 4 2'
_cell_length_a 5.942
_cell_length_b 5.942
_cell_length_c 5.870
_cell_angle_alpha 90.00
_cell_angle_beta 90.00
_cell_angle_gamma 90.00
loop_
_atom_site_label
_atom_site_fract_x
_atom_site_fract_y
_atom_site_fract_z
_atom_site_occupancy
Be1 0.000 0.000 0.000 1
Sb1 0.500 0.500 0.000 1
I1 0.000 0.500 0.500 1
Br1 0.500 0.500 0.500 1
```

Computed properties:
**Total DFT energy (no corrections)**: -1.394 eV/atom
**Density**: 3.72 g/cm3

---

Material: BaTaP2I
Method: DFT, PBE
State: relaxed

```
data_BaTaP2I
_chemical_formula_sum 'Ba1 Ta1 P2 I1'
_symmetry_space_group_name_H-M 'P 4/m m m'
_symmetry_Int_Tables_number 123
_symmetry_space_group_name_Hall '-P 4 2'
_cell_length_a 5.474
_cell_length_b 5.474
_cell_length_c 5.090
_cell_angle_alpha 90.00
_cell_angle_beta 90.00
_cell_angle_gamma 90.00
loop_
_atom_site_label
_atom_site_fract_x
_atom_site_fract_y
_atom_site_fract_z
_atom_site_occupancy
Ba1 0.000 0.000 0.000 1
Ta1 0.500 0.500 0.000 1
P1 0.000 0.500 0.500 1
I1 0.500 0.500 0.500 1
```

Computed properties:
**Total DFT energy (no corrections)**: -4.119 eV/atom
**Density**: 5.52 g/cm3

---

Material: Cd3B2Rh5
Method: DFT, PBE
State: relaxed

```
data_Cd3B2Rh5
_chemical_formula_sum 'Cd6 B4 Rh10'
_symmetry_space_group_name_H-M 'P 4/m b m'
_symmetry_Int_Tables_number 127
_symmetry_space_group_name_Hall '-P 4 2ab'
_cell_length_a 9.870
_cell_length_b 9.870
_cell_length_c 2.938
_cell_angle_alpha 90.00
_cell_angle_beta 90.00
_cell_angle_gamma 90.00
loop_
_atom_site_label
_atom_site_fract_x
_atom_site_fract_y
_atom_site_fract_z
_atom_site_occupancy
Cd1 0.000 0.000 0.000 1
Cd2 0.179 0.321 0.000 1
B1 0.122 0.622 0.000 1
Rh1 0.000 0.500 0.500 1
Rh2 0.069 0.771 0.500 1
```

Computed properties:
**Density**: 10.13 g/cm3
**Formation energy from the elements**: -293 meV/atom